Record 1
The following is a GGA-PBE calculation of crystalline Ba2LiHg3 at its relaxed geometry, from the Alexandria database.

Lattice parameters (Å, degrees): 4.3689 5.0738 8.9634 90.00 90.00 90.00
Fractional coordinates of all 6 atoms:
Ba1 0.0000 0.5000 0.9926
Ba2 0.0000 0.0000 0.5081
Li1 0.5000 0.5000 0.3300
Hg1 0.5000 0.0000 0.8393
Hg2 0.5000 0.0000 0.1854
Hg3 0.5000 0.5000 0.6447

Calculated values
Its space-group type is Pmm2 (25). As for the energy of formation from the pure elements: -0.4307 eV per atom. The polymorph energy (0 for the lowest one) is 2 meV/atom. The value obtained for the density is 7.38 Mg/m³.



Record 2
The following is a GGA-PBE calculation of crystalline Ba4LiHg at its relaxed geometry, from the Alexandria database.

Lattice parameters (Å, degrees): 7.6350 7.6350 7.6350 60.00 60.00 60.00
Fractional coordinates of all 6 atoms:
Ba1 0.8737 0.3754 0.3754
Ba2 0.3754 0.3754 0.8737
Ba3 0.3754 0.8737 0.3754
Ba4 0.3754 0.3754 0.3754
Li1 0.0000 0.0000 0.0000
Hg1 0.7500 0.7500 0.7500

Calculated values
Its space-group type is F-43m (216). As for the energy of formation from the pure elements: 0.3486 eV per atom. The polymorph energy (0 for the lowest one) is 425 meV/atom. The value obtained for the density is 3.99 Mg/m³.



Question: Look up the polymorph energy (0 for the lowest one) of the second one.
Answer: 425 meV/atom



Question: What is the formula in the second record?
Answer: Ba4LiHg



Question: Which formula does entry 1 have?
Answer: Ba2LiHg3



Question: What is the formula in the first record?
Answer: Ba2LiHg3